Material: KHfO3
Method: DFT, GGA-PBE
State: optimized geometry

Properties
Crystal system: orthorhombic
V in Å³/atom: 23.54
DFT total energy in eV per atom: -7.3368
D(E_F) in states/eV per cell: 0.0
SG: Cmcm (63)

a = 8.0948 Å, b = 8.0948 Å, c = 5.9989 Å
α = 90.00°, β = 90.00°, γ = 143.22°
Last column: nearest neighbours and their distance in Å.
Atoms (fractional coordinates):
K 0.1838 0.8162 0.7500  2 O 2.74
K 0.8162 0.1838 0.2500  2 O 2.74
Hf 0.4181 0.5819 0.7500  4 O 1.93-1.96
Hf 0.5819 0.4181 0.2500  4 O 1.93-1.96
O 0.0514 0.3817 0.7500  1 Hf 1.93
O 0.3817 0.0514 0.2500  1 Hf 1.93
O 0.5000 0.5000 0.0000  2 Hf 1.96
O 0.5000 0.5000 0.5000  2 Hf 1.96
O 0.6183 0.9486 0.7500  1 Hf 1.93
O 0.9486 0.6183 0.2500  1 Hf 1.93

=====

Material: K5HfO4
Method: DFT, GGA-PBE
State: optimized geometry

Properties
Crystal system: orthorhombic
V in Å³/atom: 24.95
DFT total energy in eV per atom: -5.3326
D(E_F) in states/eV per cell: 3.0
SG: Pmmn (59)

a = 7.9134 Å, b = 9.9828 Å, c = 6.3167 Å
α = 90.00°, β = 90.00°, γ = 90.00°
Last column: nearest neighbours and their distance in Å.
Atoms (fractional coordinates):
K 0.0080 0.0744 0.2373  3 O 2.72-2.79
K 0.0080 0.4256 0.2373  3 O 2.72-2.79
K 0.2500 0.7500 0.2831  2 O 2.55
K 0.4920 0.0744 0.2373  3 O 2.72-2.79
K 0.4920 0.4256 0.2373  3 O 2.72-2.79
K 0.5080 0.5744 0.7627  3 O 2.72-2.79
K 0.5080 0.9256 0.7627  3 O 2.72-2.79
K 0.7500 0.2500 0.7169  2 O 2.55
K 0.9920 0.5744 0.7627  3 O 2.72-2.79
K 0.9920 0.9256 0.7627  3 O 2.72-2.79
Hf 0.2500 0.2500 0.7454  4 O 1.98-1.99
Hf 0.7500 0.7500 0.2546  4 O 1.98-1.99
O 0.0474 0.2500 0.5622  1 Hf 1.98
O 0.2500 0.0861 0.9240  1 Hf 1.99
O 0.2500 0.4139 0.9240  1 Hf 1.99
O 0.4526 0.2500 0.5622  1 Hf 1.98
O 0.5474 0.7500 0.4378  1 Hf 1.98
O 0.7500 0.5861 0.0760  1 Hf 1.99
O 0.7500 0.9139 0.0760  1 Hf 1.99
O 0.9526 0.7500 0.4378  1 Hf 1.98

=====

Material: KHfO3
Method: DFT, GGA-PBE
State: optimized geometry

Properties
Crystal system: triclinic
V in Å³/atom: 17.70
DFT total energy in eV per atom: -7.7440
D(E_F) in states/eV per cell: 0.0
SG: P-1 (2)

a = 5.6823 Å, b = 6.1126 Å, c = 6.4615 Å
α = 113.79°, β = 90.88°, γ = 117.24°
Last column: nearest neighbours and their distance in Å.
Atoms (fractional coordinates):
K 0.1389 0.2147 0.3770  4 O 2.63-2.81
K 0.8611 0.7853 0.6230  4 O 2.63-2.81
Hf 0.3135 0.6286 0.0149  5 O 1.99-2.18
Hf 0.6865 0.3714 0.9851  5 O 1.99-2.18
O 0.0456 0.6906 0.2115  2 Hf 2.02-2.07
O 0.4007 0.9354 0.8816  1 O 1.55
O 0.4783 0.5290 0.2102  2 Hf 1.99-2.10
O 0.5217 0.4710 0.7898  2 Hf 1.99-2.10
O 0.5993 0.0646 0.1184  1 O 1.55
O 0.9544 0.3094 0.7885  2 Hf 2.02-2.07

=====

Material: K5Hf2O6
Method: DFT, GGA-PBE
State: optimized geometry

Properties
Crystal system: monoclinic
V in Å³/atom: 23.79
DFT total energy in eV per atom: -6.4182
D(E_F) in states/eV per cell: 3.6
SG: C2/c (15)

a = 6.7243 Å, b = 6.7243 Å, c = 14.6504 Å
α = 93.50°, β = 93.50°, γ = 69.43°
Last column: nearest neighbours and their distance in Å.
Atoms (fractional coordinates):
K 0.0973 0.9027 0.7500  2 O 2.66
K 0.1553 0.7398 0.0560  2 O 2.66-2.81
K 0.2602 0.8447 0.4440  2 O 2.66-2.81
K 0.3217 0.3775 0.3017  4 O 2.65-2.84
K 0.3775 0.3217 0.8017  4 O 2.65-2.84
K 0.6225 0.6783 0.1983  4 O 2.65-2.84
K 0.6783 0.6225 0.6983  4 O 2.65-2.84
K 0.7398 0.1553 0.5560  2 O 2.66-2.81
K 0.8447 0.2602 0.9440  2 O 2.66-2.81
K 0.9027 0.0973 0.2500  2 O 2.66
Hf 0.1515 0.3951 0.5801  4 O 1.92-2.08
Hf 0.3951 0.1515 0.0801  4 O 1.92-2.08
Hf 0.6049 0.8485 0.9199  4 O 1.92-2.08
Hf 0.8485 0.6049 0.4199  4 O 1.92-2.08
O 0.0450 0.2611 0.6683  1 Hf 1.92
O 0.0826 0.3192 0.4445  2 Hf 2.05-2.08
O 0.2611 0.0450 0.1683  1 Hf 1.92
O 0.3192 0.0826 0.9445  2 Hf 2.05-2.08
O 0.4014 0.4491 0.6279  1 Hf 1.92
O 0.4491 0.4014 0.1279  1 Hf 1.92
O 0.5509 0.5986 0.8721  1 Hf 1.92
O 0.5986 0.5509 0.3721  1 Hf 1.92
O 0.6808 0.9174 0.0555  2 Hf 2.05-2.08
O 0.7389 0.9550 0.8317  1 Hf 1.92
O 0.9174 0.6808 0.5555  2 Hf 2.05-2.08
O 0.9550 0.7389 0.3317  1 Hf 1.92